(1)
! SCAN ZrCrSCl2, PBEsol geometry; values from VASP
! E_tot = -15.467 eV per atom
! total moment = 6.00 μB/cell
! space-group type = P4/mmm (123)
! E_form (uncorrected) = -0.5340 eV per atom
&SYSTEM
  ibrav = 0, nat = 5, ntyp = 4
/
ATOMIC_SPECIES
Cr 52.00 Cr.upf
S 32.06 S.upf
Zr 91.22 Zr.upf
Cl 35.45 Cl.upf
ATOMIC_POSITIONS angstrom
Cr 0.000 0.000 0.000
S -0.141 1.460 1.890
Zr 1.925 -0.396 3.479
Cl 2.251 -0.065 0.219
Cl -0.185 -1.791 1.370
CELL_PARAMETERS angstrom
-0.370 -3.582 2.741
4.502 -0.130 0.438
-0.283 2.920 3.779

=====

(2)
! SCAN CrSbCl, PBEsol geometry; values from VASP
! E_tot = -20.558 eV per atom
! total moment = 4.04 μB/cell
! space-group type = F-43m (216)
! E_form (uncorrected) = 0.6502 eV per atom
&SYSTEM
  ibrav = 0, nat = 3, ntyp = 3
/
ATOMIC_SPECIES
Sb 121.76 Sb.upf
Cr 52.00 Cr.upf
Cl 35.45 Cl.upf
ATOMIC_POSITIONS angstrom
Sb 4.639 2.678 1.894
Cr 0.000 0.000 0.000
Cl 2.319 1.339 0.947
CELL_PARAMETERS angstrom
4.639 0.000 0.000
2.319 4.017 0.000
2.319 1.339 3.788

=====

Number 1: DOS at the Fermi energy 2.48 states/eV/cell. Number 2: DOS at the Fermi energy 2.76 states/eV/cell.